The following is a DFT calculation (PBE) of a relaxed Co2AsC crystal.

Cell lengths 5.5448, 5.5448, 5.5448 Å; angles 90.00, 90.00, 90.00 degrees
With the nearest neighbours (Å) after each atom.
Element x y z (fractional)
Co (0.2500, 0.2500, 0.2500)  4 As 2.40, 4 C 2.40
Co (0.2500, 0.2500, 0.7500)  4 As 2.40, 4 C 2.40
Co (0.2500, 0.7500, 0.2500)  4 As 2.40, 4 C 2.40
Co (0.2500, 0.7500, 0.7500)  4 As 2.40, 4 C 2.40
Co (0.7500, 0.2500, 0.2500)  4 As 2.40, 4 C 2.40
Co (0.7500, 0.2500, 0.7500)  4 As 2.40, 4 C 2.40
Co (0.7500, 0.7500, 0.2500)  4 As 2.40, 4 C 2.40
Co (0.7500, 0.7500, 0.7500)  4 As 2.40, 4 C 2.40
As (0.0000, 0.0000, 0.0000)  8 Co 2.40
As (0.0000, 0.5000, 0.5000)  8 Co 2.40
As (0.5000, 0.0000, 0.5000)  8 Co 2.40
As (0.5000, 0.5000, 0.0000)  8 Co 2.40
C (0.0000, 0.0000, 0.5000)  8 Co 2.40
C (0.0000, 0.5000, 0.0000)  8 Co 2.40
C (0.5000, 0.0000, 0.0000)  8 Co 2.40
C (0.5000, 0.5000, 0.5000)  8 Co 2.40

Properties
Its symmetry is Fm-3m. The value obtained for the energy above the most stable polymorph in this dataset is 0.615 eV per atom. For the energy, the calculation gives -6.118 eV per atom.

The following is a DFT calculation (PBE) of a relaxed CoAsC2 crystal.

Cell lengths 4.5456, 4.5456, 8.6601 Å; angles 90.00, 90.00, 90.00 degrees
With the nearest neighbours (Å) after each atom.
Element x y z (fractional)
Co (0.0000, 0.0000, 0.0000)  4 C 1.91
Co (0.0000, 0.5000, 0.2500)  4 C 1.91
Co (0.5000, 0.0000, 0.7500)  4 C 1.91
Co (0.5000, 0.5000, 0.5000)  4 C 1.91
As (0.0000, 0.0000, 0.5000)  4 C 1.97
As (0.0000, 0.5000, 0.7500)  4 C 1.97
As (0.5000, 0.0000, 0.2500)  4 C 1.97
As (0.5000, 0.5000, 0.0000)  4 C 1.97
C (0.2375, 0.2500, 0.1250)  2 Co 1.91, 2 As 1.97
C (0.2500, 0.7375, 0.3750)  2 Co 1.91, 2 As 1.97
C (0.2500, 0.7625, 0.8750)  2 Co 1.91, 2 As 1.97
C (0.2625, 0.2500, 0.6250)  2 Co 1.91, 2 As 1.97
C (0.7375, 0.7500, 0.6250)  2 Co 1.91, 2 As 1.97
C (0.7500, 0.2375, 0.8750)  2 Co 1.91, 2 As 1.97
C (0.7500, 0.2625, 0.3750)  2 Co 1.91, 2 As 1.97
C (0.7625, 0.7500, 0.1250)  2 Co 1.91, 2 As 1.97

Properties
Its symmetry is I-42d. For the energy, the calculation gives -6.680 eV per atom.

The following is a DFT calculation (PBE) of a relaxed CsCo2AsC crystal.

Cell lengths 4.6705, 4.6705, 4.3564 Å; angles 90.00, 90.00, 90.00 degrees
With the nearest neighbours (Å) after each atom.
Element x y z (fractional)
Cs (0.0000, 0.0000, 0.0000)  8 Co 3.19, 4 C 3.30
Co (0.0000, 0.5000, 0.5000)  2 As 2.34
Co (0.5000, 0.0000, 0.5000)  2 As 2.34
As (0.5000, 0.5000, 0.5000)  2 C 2.18, 4 Co 2.34
C (0.5000, 0.5000, 0.0000)  2 As 2.18

Properties
Its symmetry is P4/mmm. For the energy, the calculation gives -4.262 eV per atom.

The following is a DFT calculation (PBE) of a relaxed InCoAsC2 crystal.

Cell lengths 3.7474, 3.7474, 5.3636 Å; angles 90.00, 90.00, 90.00 degrees
With the nearest neighbours (Å) after each atom.
Element x y z (fractional)
In (0.0000, 0.0000, 0.0000)  4 As 2.65
Co (0.5000, 0.5000, 0.5000)  4 C 1.87
As (0.5000, 0.5000, 0.0000)  4 In 2.65, 2 Co 2.68
C (0.0000, 0.5000, 0.5000)  2 Co 1.87
C (0.5000, 0.0000, 0.5000)  2 Co 1.87

Properties
Its symmetry is P4/mmm. For the energy, the calculation gives -5.291 eV per atom.

The following is a DFT calculation (PBE) of a relaxed La2CoAsC crystal.

Cell lengths 5.3331, 5.3331, 3.6763 Å; angles 90.00, 90.00, 90.00 degrees
With the nearest neighbours (Å) after each atom.
Element x y z (fractional)
La (0.0000, 0.5000, 0.0000)  2 C 2.67
La (0.5000, 0.0000, 0.0000)  2 C 2.67
Co (0.0000, 0.0000, 0.5000)  2 C 1.84
As (0.5000, 0.5000, 0.5000)  8 La 3.24
C (0.0000, 0.0000, 0.0000)  2 Co 1.84

Properties
Its symmetry is P4/mmm. For the energy, the calculation gives -6.767 eV per atom.